[1]
TaTeBr: PBEsol geometry, meta-GGA SCAN.

a b c (Å): 6.9920 6.9920 6.9920
angles (deg): 152.84 152.84 38.79
Last column: nearest neighbours and their distance in Å.
Positions (direct):
Ta 0.0000 0.0000 0.0000  4 Te 2.84, 4 Br 2.85
Te 0.6239 0.6239 0.0000  4 Ta 2.84
Br 0.3750 0.3750 0.0000  4 Ta 2.85

Its uncorrected energy is -41.294 eV per atom. Its uncorrected formation energy is -0.196 eV per atom. The calculation puts the energy above the most stable polymorph in this dataset at 0.000 eV/f.u. The symmetry is I4mm (107).



[2]
Y2InAu: PBEsol geometry, meta-GGA SCAN.

a b c (Å): 4.5798 5.9612 5.9612
angles (deg): 37.43 90.00 90.00
Last column: nearest neighbours and their distance in Å.
Positions (direct):
Y 0.0000 0.0000 0.0000  3 Au 3.02-3.25, 4 In 3.09
Y 0.5000 0.2934 0.2934  4 Au 3.06, 3 In 3.13-3.16
In 0.5000 0.5703 0.5703  2 Au 2.93, 7 Y 3.09-3.16
Au 0.0000 0.7324 0.7324  2 In 2.93, 7 Y 3.02-3.25

Its uncorrected energy is -40.445 eV per atom. The formation enthalpy at 0 K is -0.888 eV per atom. The symmetry is Amm2 (38).